No. 1
## SrLaTiMo2 (PBE)

Data for SrLaTiMo2 after structural relaxation.

Values from the calculation:
VASP energy in eV/f.u.: -26.75
Space group: No. 123

Geometry as POSCAR:
```
SrLaTiMo2
1.0
-1.600 -3.176 -3.342
4.524 0.872 -2.994
2.261 -3.623 2.361
Sr Mo La Ti
1 2 1 1
direct
0.000 0.500 0.000
0.500 0.000 0.000
0.000 0.000 0.500
0.000 0.000 0.000
0.500 0.500 0.500
```


No. 2
## Sr2LaTlMo (PBE)

Data for Sr2LaTlMo after structural relaxation.

Values from the calculation:
VASP energy in eV/f.u.: -19.12
Space group: No. 123

Geometry as POSCAR:
```
Sr2LaTlMo
1.0
6.091 0.000 0.000
0.000 5.125 0.000
0.000 0.000 6.091
Mo Sr La Tl
1 2 1 1
direct
0.000 0.000 0.000
0.000 0.000 0.500
0.500 0.000 0.000
0.000 0.500 0.000
0.500 0.500 0.500
```


No. 3
## LaTaMo4 (PBE)

Data for LaTaMo4 after structural relaxation.

Values from the calculation:
VASP energy in eV/f.u.: -58.17
Space group: No. 216

Geometry as POSCAR:
```
LaTaMo4
1.0
0.000 3.855 3.855
3.855 0.000 3.855
3.855 3.855 0.000
Ta La Mo
1 1 4
direct
0.750 0.750 0.750
0.000 0.000 0.000
0.375 0.375 0.375
0.375 0.375 0.874
0.874 0.375 0.375
0.375 0.874 0.375
```


No. 4
## LaTa3Mo (PBE)

Data for LaTa3Mo after structural relaxation.

Values from the calculation:
VASP energy in eV/f.u.: -46.69
Energy above the most stable polymorph in this dataset in meV/atom: 0.0
Space group: No. 221

Geometry as POSCAR:
```
LaTa3Mo
1.0
4.946 0.000 0.000
0.000 4.946 0.000
0.000 0.000 4.946
Ta La Mo
3 1 1
direct
0.000 0.500 0.000
0.500 0.000 0.000
0.000 0.000 0.500
0.500 0.500 0.500
0.000 0.000 0.000
```


The evaluated formation energy for the records listed, in turn: 1883; 474; 322; 926 meV per atom.